Computed, not measured: a geometry-optimized FeOs2W structure at the PBE level of DFT.

Properties
For the formation energy, the calculation gives 0.267 eV/atom. As for the energy relative to the lowest polymorph listed for this composition: 225 meV per atom. The raw total energy comes out at -10.70 eV per atom. The density of states at the Fermi level is 0.940 states/eV/atom.

a = 2.8496 Å, b = 4.4293 Å, c = 9.0394 Å
α = 90.00°, β = 90.00°, γ = 90.00°
Space group Immm (No. 71)
One atom of each set of equivalent atoms:
Fe 0.0000 0.0000 0.0000 x2
Os 0.0000 0.5000 0.2754 x4
W 0.0000 0.0000 0.5000 x2